# PBE LaNb2F, optimized geometry
data_LaNb2F
_chemical_formula_sum 'La4 Nb8 F4'
_symmetry_space_group_name_H-M 'P 1'
_symmetry_Int_Tables_number 1
_cell_length_a 5.8039
_cell_length_b 5.8039
_cell_length_c 11.5845
_cell_angle_alpha 90.00
_cell_angle_beta 90.00
_cell_angle_gamma 90.00
loop_
_symmetry_equiv_pos_as_xyz
'x,y,z'
loop_
_atom_site_label
_atom_site_type_symbol
_atom_site_fract_x
_atom_site_fract_y
_atom_site_fract_z
La1 La 0.0000 0.2500 0.3750
La2 La 0.0000 0.7500 0.6250
La3 La 0.5000 0.2500 0.1250
La4 La 0.5000 0.7500 0.8750
Nb1 Nb 0.0000 0.0000 0.0000
Nb2 Nb 0.0000 0.5000 0.0000
Nb3 Nb 0.2500 0.2500 0.7500
Nb4 Nb 0.2500 0.7500 0.2500
Nb5 Nb 0.5000 0.0000 0.5000
Nb6 Nb 0.5000 0.5000 0.5000
Nb7 Nb 0.7500 0.2500 0.7500
Nb8 Nb 0.7500 0.7500 0.2500
F1 F 0.0000 0.2500 0.8750
F2 F 0.0000 0.7500 0.1250
F3 F 0.5000 0.2500 0.6250
F4 F 0.5000 0.7500 0.3750
# Space group = No. 141
# Raw total energy = -6.645 eV/atom
# ΔE to the lowest computed polymorph = 0 meV per atom